# 1
Density functional theory data (PBEsol) for a relaxed Co4SbP crystal.

a = 4.768 Å, b = 4.768 Å, c = 4.768 Å
α = 60.00°, β = 60.00°, γ = 60.00°
Site moments in Bohr magnetons follow the coordinates.
Fractional coordinates of all 6 atoms:
Co: 0.376 0.376 0.376  1.48
Co: 0.376 0.376 0.873  1.48
Co: 0.873 0.376 0.376  1.48
Co: 0.376 0.873 0.376  1.48
P: 0.750 0.750 0.750  0.02
Sb: 0.000 0.000 0.000  -0.02

Results
- formation energy from raw total energies (meV/atom) = 325
- magnetization (μB per atom) = 0.981
- total energy (eV per atom) = -6.558


# 2
Density functional theory data (PBEsol) for a relaxed NaSr2HF crystal.

a = 4.052 Å, b = 6.409 Å, c = 6.409 Å
α = 90.00°, β = 90.00°, γ = 90.00°
Fractional coordinates of all 5 atoms:
Sr: 0.000 0.000 0.500
Sr: 0.000 0.500 0.000
F: 0.500 0.000 0.000
H: 0.500 0.500 0.500
Na: 0.000 0.000 0.000

Results
- magnetization (μB per atom) = 0.000
- total energy (eV per atom) = -2.376


# 3
Density functional theory data (PBEsol) for a relaxed ScCrAg2 crystal.

a = 3.232 Å, b = 3.513 Å, c = 6.179 Å
α = 90.00°, β = 90.00°, γ = 90.00°
Site moments in Bohr magnetons follow the coordinates.
Fractional coordinates of all 4 atoms:
Ag: 0.000 0.000 0.762  0.04
Ag: 0.000 0.000 0.238  0.04
Cr: 0.500 0.500 0.000  3.52
Sc: 0.500 0.500 0.500  0.00

Results
- calculated formation energy (eV/atom) = 0.1814
- magnetization (μB per atom) = 0.987
- total energy (eV per atom) = -5.686